DFT (PBE+U) results for a relaxed structure of Na2GdMnAs2O9.

POSCAR file:
```
Na2GdMnAs2O9
1.0
5.906 -0.036 0.000
-0.432 9.064 0.000
0.000 0.000 15.072
O As Mn Na Gd
36 8 4 8 4
Cartesian
5.683 2.364 14.782
0.990 8.910 6.156
-0.208 6.664 0.290
0.725 8.242 13.451
2.514 6.914 7.826
2.961 2.114 7.246
4.750 0.786 1.621
2.815 2.255 0.003
2.642 6.344 11.749
-0.337 7.233 4.213
2.426 7.886 4.056
1.481 0.256 8.728
4.178 0.142 13.928
3.048 1.143 11.016
3.504 5.365 3.732
4.707 8.177 11.268
4.466 4.336 6.392
3.993 8.772 6.344
0.767 0.851 3.804
1.970 3.663 11.340
4.159 4.360 1.380
5.596 3.336 3.480
1.008 4.692 8.680
4.484 0.118 8.916
1.315 4.668 13.692
-0.078 2.259 7.539
-0.121 5.692 11.592
4.218 4.770 13.880
3.894 3.693 9.157
1.256 4.258 1.192
2.659 6.773 15.069
5.553 6.769 7.533
1.581 5.336 5.915
1.297 8.886 1.144
2.832 2.684 3.323
5.811 1.795 10.859
1.442 5.142 12.004
4.351 3.139 7.592
4.611 0.593 10.604
4.292 1.339 0.056
4.033 3.886 3.068
0.864 8.435 4.468
1.123 5.889 7.480
1.182 7.689 15.016
-0.216 4.532 0.000
2.953 -0.018 7.536
2.737 4.514 0.000
0.000 0.000 7.536
4.276 0.849 4.061
1.242 2.864 5.488
3.979 7.378 2.048
4.367 3.629 11.597
1.107 5.399 3.475
1.198 8.179 11.011
4.233 6.164 9.584
1.495 1.650 13.024
1.088 1.934 1.792
3.825 6.448 5.744
4.386 7.094 13.280
1.649 2.580 9.328
```

Values from the calculation:
Size of the total moment in μB per formula unit: 11.00
Energy in eV per atom: -7.122